(1)
Density functional theory data (PBE) for an optimized crystal structure of LaTiTc2Sb.

Values from the calculation:
**E**: -5.911 eV/atom
**DOS(E_F)**: 1.540 states/eV/atom
**Symmetry**: P4/mmm (123)
**Formation energy (no corrections)**: 1.624 eV per atom

```
LaTiTc2Sb
1.0
4.791 0.000 0.000
0.000 4.791 0.000
0.000 0.000 4.961
La Ti Tc Sb
1 1 2 1
Direct
0.000 0.000 0.000 La
0.000 0.000 0.500 Ti
0.000 0.500 0.000 Tc
0.500 0.000 0.000 Tc
0.500 0.500 0.500 Sb
```

=====

(2)
Density functional theory data (PBE) for an optimized crystal structure of LaTc2SbW.

Values from the calculation:
**E**: -6.250 eV/atom
**DOS(E_F)**: 1.651 states/eV/atom
**Symmetry**: P4/mmm (123)
**Formation energy (no corrections)**: 2.297 eV per atom

```
LaTc2SbW
1.0
4.798 0.000 0.000
0.000 4.798 0.000
0.000 0.000 5.011
La Tc Sb W
1 2 1 1
Direct
0.000 0.000 0.000 La
0.000 0.500 0.000 Tc
0.500 0.000 0.000 Tc
0.500 0.500 0.500 Sb
0.000 0.000 0.500 W
```